No. 1
Below is a geometry-optimized Rb2PuNp2Te6 structure, with properties calculated at the PBE level.

abc: 7.803 7.803 9.079
angles: 98.18 98.18 120.09
Fractional positions:
Rb (0.166, 0.834, 0.000)
Rb (0.834, 0.166, 0.000)
Pu (0.000, 0.000, 0.500)
Np (0.333, 0.667, 0.500)
Np (0.667, 0.333, 0.500)
Te (0.066, 0.402, 0.696)
Te (0.273, 0.273, 0.304)
Te (0.402, 0.066, 0.696)
Te (0.598, 0.934, 0.304)
Te (0.727, 0.727, 0.696)
Te (0.934, 0.598, 0.304)

Calculated values
Raw total energy, eV/atom: -6.448
ΔE_f (raw), kJ/mol of formula units: -958
Volume, Å³ per atom: 41.68
N(E_F), states/eV per cell: 35.225

No. 2
Below is a geometry-optimized Pm2Al2Os structure, with properties calculated at the PBE level.

abc: 6.000 6.000 11.139
angles: 111.68 111.68 39.21
Fractional positions:
Pm (0.003, 0.003, 0.161)
Pm (0.195, 0.195, 0.624)
Pm (0.805, 0.805, 0.376)
Pm (0.997, 0.997, 0.839)
Al (0.314, 0.314, 0.950)
Al (0.480, 0.480, 0.613)
Al (0.520, 0.520, 0.387)
Al (0.686, 0.686, 0.050)
Os (0.300, 0.300, 0.181)
Os (0.700, 0.700, 0.819)

Calculated values
Raw total energy, eV/atom: -6.017
Volume, Å³ per atom: 23.33
DFT formation energy, eV per atom: -0.373
N(E_F), states/eV per cell: 7.778

No. 3
Below is a geometry-optimized Tb12SmY7 structure, with properties calculated at the PBE level.

abc: 9.793 9.793 9.793
angles: 109.47 109.47 109.47
Fractional positions:
Tb (0.001, 0.748, 0.253)
Tb (0.252, 0.253, 0.504)
Tb (0.252, 0.747, 0.999)
Tb (0.253, 0.001, 0.748)
Tb (0.253, 0.504, 0.252)
Tb (0.496, 0.748, 0.747)
Tb (0.504, 0.252, 0.253)
Tb (0.747, 0.496, 0.748)
Tb (0.747, 0.999, 0.252)
Tb (0.748, 0.253, 0.001)
Tb (0.748, 0.747, 0.496)
Tb (0.999, 0.252, 0.747)
Sm (0.000, 0.000, 0.000)
Y (0.000, 0.000, 0.500)
Y (0.000, 0.500, 0.000)
Y (0.000, 0.500, 0.500)
Y (0.500, 0.000, 0.000)
Y (0.500, 0.000, 0.500)
Y (0.500, 0.500, 0.000)
Y (0.500, 0.500, 0.500)

Calculated values
Raw total energy, eV/atom: -4.563
Offset from the most stable computed form, eV/atom: 0.467
Volume, Å³ per atom: 36.14
DFT formation energy, eV per atom: 0.713
N(E_F), states/eV per cell: 24.778

No. 4
Below is a geometry-optimized Sr2ErCdHg6 structure, with properties calculated at the PBE level.

abc: 7.910 7.910 7.910
angles: 60.00 60.00 60.00
Fractional positions:
Sr (0.250, 0.250, 0.250)
Sr (0.750, 0.750, 0.750)
Er (0.000, 0.000, 0.000)
Cd (0.500, 0.500, 0.500)
Hg (0.254, 0.254, 0.746)
Hg (0.254, 0.746, 0.254)
Hg (0.254, 0.746, 0.746)
Hg (0.746, 0.254, 0.254)
Hg (0.746, 0.254, 0.746)
Hg (0.746, 0.746, 0.254)

Calculated values
Raw total energy, eV/atom: -1.187
Volume, Å³ per atom: 34.99
DFT formation energy, eV per atom: -0.122
N(E_F), states/eV per cell: 8.491

No. 5
Below is a geometry-optimized CsSeBr3 structure, with properties calculated at the PBE level.

abc: 5.900 9.043 8.055
angles: 90.00 101.40 90.00
Fractional positions:
Cs (0.233, 0.250, 0.161)
Cs (0.767, 0.750, 0.839)
Se (0.000, 0.000, 0.500)
Se (0.000, 0.500, 0.500)
Br (0.190, 0.750, 0.428)
Br (0.261, 0.502, 0.803)
Br (0.261, 0.998, 0.803)
Br (0.739, 0.002, 0.197)
Br (0.739, 0.498, 0.197)
Br (0.810, 0.250, 0.572)

Calculated values
Raw total energy, eV/atom: -2.659
ΔE_f (raw), kJ/mol of formula units: -380
Volume, Å³ per atom: 42.13

No. 6
Below is a geometry-optimized Pr5MgCd6 structure, with properties calculated at the PBE level.

abc: 9.368 9.368 5.330
angles: 106.50 106.50 119.49
Fractional positions:
Pr (0.000, 0.000, 0.000)
Pr (0.169, 0.831, 0.500)
Pr (0.332, 0.668, 0.000)
Pr (0.668, 0.332, 0.000)
Pr (0.831, 0.169, 0.500)
Mg (0.500, 0.500, 0.500)
Cd (0.105, 0.419, 0.263)
Cd (0.268, 0.268, 0.767)
Cd (0.419, 0.105, 0.263)
Cd (0.581, 0.895, 0.737)
Cd (0.732, 0.732, 0.233)
Cd (0.895, 0.581, 0.737)

Calculated values
Raw total energy, eV/atom: -2.879
Volume, Å³ per atom: 28.02
DFT formation energy, eV per atom: -0.297
N(E_F), states/eV per cell: 11.934

No. 7
Below is a geometry-optimized NbInSn2 structure, with properties calculated at the PBE level.

abc: 4.998 13.605 3.032
angles: 90.00 90.00 90.00
Fractional positions:
Nb (0.000, 0.000, 0.000)
Nb (0.500, 0.500, 0.000)
In (0.000, 0.500, 0.500)
In (0.500, 0.000, 0.500)
Sn (0.000, 0.185, 0.500)
Sn (0.000, 0.815, 0.500)
Sn (0.500, 0.315, 0.500)
Sn (0.500, 0.685, 0.500)

Calculated values
Raw total energy, eV/atom: -5.200
Volume, Å³ per atom: 25.77
DFT formation energy, eV per atom: 0.003
N(E_F), states/eV per cell: 5.615

No. 8
Below is a geometry-optimized Tb2NdErS6 structure, with properties calculated at the PBE level.

abc: 7.398 7.398 7.398
angles: 56.35 56.35 56.35
Fractional positions:
Tb (0.000, 0.000, 0.000)
Tb (0.496, 0.496, 0.496)
Nd (0.204, 0.204, 0.204)
Er (0.698, 0.698, 0.698)
S (0.094, 0.404, 0.795)
S (0.299, 0.885, 0.613)
S (0.404, 0.795, 0.094)
S (0.613, 0.299, 0.885)
S (0.795, 0.094, 0.404)
S (0.885, 0.613, 0.299)

Calculated values
Raw total energy, eV/atom: -6.381
ΔE_f (raw), kJ/mol of formula units: -1973
Volume, Å³ per atom: 26.22
N(E_F), states/eV per cell: 0.000

No. 9
Below is a geometry-optimized ScCo3Br structure, with properties calculated at the PBE level.

abc: 4.326 4.326 4.326
angles: 90.00 90.00 90.00
Fractional positions:
Sc (0.000, 0.000, 0.000)
Co (0.000, 0.500, 0.500)
Co (0.500, 0.000, 0.500)
Co (0.500, 0.500, 0.000)
Br (0.500, 0.500, 0.500)

Calculated values
Raw total energy, eV/atom: -5.139
Offset from the most stable computed form, eV/atom: 0.000
ΔE_f (raw), kJ/mol of formula units: 350
Volume, Å³ per atom: 16.19
N(E_F), states/eV per cell: 5.833

No. 10
Below is a geometry-optimized Rb8PbO6 structure, with properties calculated at the PBE level.

abc: 8.128 7.797 12.430
angles: 90.00 90.00 90.00
Fractional positions:
Rb (0.000, 0.078, 0.066)
Rb (0.000, 0.152, 0.592)
Rb (0.203, 0.542, 0.774)
Rb (0.214, 0.649, 0.500)
Rb (0.222, 0.983, 0.809)
Rb (0.278, 0.017, 0.309)
Rb (0.286, 0.351, 0.000)
Rb (0.297, 0.458, 0.274)
Rb (0.500, 0.848, 0.092)
Rb (0.500, 0.922, 0.566)
Rb (0.703, 0.458, 0.274)
Rb (0.714, 0.351, 0.000)
Rb (0.722, 0.017, 0.309)
Rb (0.778, 0.983, 0.809)
Rb (0.786, 0.649, 0.500)
Rb (0.797, 0.542, 0.774)
Pb (0.000, 0.662, 0.091)
Pb (0.500, 0.338, 0.591)
O (0.000, 0.239, 0.855)
O (0.000, 0.404, 0.145)
O (0.000, 0.787, 0.656)
O (0.000, 0.820, 0.230)
O (0.213, 0.714, 0.996)
O (0.287, 0.286, 0.496)
O (0.500, 0.180, 0.730)
O (0.500, 0.213, 0.156)
O (0.500, 0.596, 0.645)
O (0.500, 0.761, 0.355)
O (0.713, 0.286, 0.496)
O (0.787, 0.714, 0.996)

Calculated values
Raw total energy, eV/atom: -3.771
ΔE_f (raw), kJ/mol of formula units: -1482
Volume, Å³ per atom: 26.25
N(E_F), states/eV per cell: 0.727

No. 11
Below is a geometry-optimized LaHf2Ti2 structure, with properties calculated at the PBE level.

abc: 8.538 8.538 3.203
angles: 90.00 90.00 90.00
Fractional positions:
La (0.000, 0.000, 0.000)
La (0.500, 0.500, 0.000)
Hf (0.122, 0.378, 0.000)
Hf (0.378, 0.878, 0.000)
Hf (0.622, 0.122, 0.000)
Hf (0.878, 0.622, 0.000)
Ti (0.168, 0.668, 0.500)
Ti (0.332, 0.168, 0.500)
Ti (0.668, 0.832, 0.500)
Ti (0.832, 0.332, 0.500)

Calculated values
Raw total energy, eV/atom: -7.888
Offset from the most stable computed form, eV/atom: 0.044
Volume, Å³ per atom: 23.34
DFT formation energy, eV per atom: 0.237
N(E_F), states/eV per cell: 21.772

No. 12
Below is a geometry-optimized RbPrSm4Se8 structure, with properties calculated at the PBE level.

abc: 8.871 8.871 8.871
angles: 59.42 59.42 59.42
Fractional positions:
Rb (0.000, 0.000, 0.000)
Pr (0.632, 0.632, 0.632)
Sm (0.115, 0.632, 0.632)
Sm (0.253, 0.253, 0.253)
Sm (0.632, 0.115, 0.632)
Sm (0.632, 0.632, 0.115)
Se (0.383, 0.383, 0.857)
Se (0.383, 0.857, 0.383)
Se (0.385, 0.385, 0.385)
Se (0.428, 0.864, 0.864)
Se (0.857, 0.383, 0.383)
Se (0.859, 0.859, 0.859)
Se (0.864, 0.428, 0.864)
Se (0.864, 0.864, 0.428)

Calculated values
Raw total energy, eV/atom: -5.480
ΔE_f (raw), kJ/mol of formula units: -2336
Volume, Å³ per atom: 34.79
N(E_F), states/eV per cell: 0.000